## Ba2CuBi (PBE-GGA)

Data for a relaxed Ba2CuBi crystal.

Results
calculated volume: 136.6 Å³ per cell
symmetry: No. 216
crystal system: cubic
energy: -2.965 eV per atom

Cell: 5.7809 5.7809 5.7809 Å, 60.00 60.00 60.00°
Last column: nearest neighbours and their distance in Å.
Sites, in units of the cell vectors:
Ba: 0.0000 0.0000 0.0000  4 Cu 3.54, 4 Ba 3.54
Ba: 0.2500 0.2500 0.2500  4 Ba 3.54, 4 Bi 3.54
Cu: 0.7500 0.7500 0.7500  4 Bi 3.54, 4 Ba 3.54
Bi: 0.5000 0.5000 0.5000  4 Cu 3.54, 4 Ba 3.54